No. 1
6
Lattice="-1.6462 2.4382 4.2848 1.4225 -4.0912 2.8746 6.5779 2.9007 0.8791" Properties=species:S:1:pos:R:3 comment="Ho4ScCd | Alexandria via LeMat-Bulk | PBE-GGA | optimized geometry" vol_a3_per_atom=32.6 formation_energy_kj_per_mol_atoms=37 energy_ev_per_atom=-3.88 m_tot_mub_per_cell=0.00 dos_ef_per_ev_cell=4.88 pbc="T T T"
Ho 2.3572 -1.3032 1.6551
Ho 2.2443 -2.1287 5.2349
Cd 4.6931 -2.6317 3.3103
Ho 5.6070 0.1306 2.0907
Sc 6.4473 2.0826 4.4549
Ho 5.4961 -0.6971 5.6707

=====

No. 2
4
Lattice="2.8111 0.0000 0.0000 0.0000 2.8111 0.0000 0.0000 0.0000 9.4078" Properties=species:S:1:pos:R:3 comment="ZrHgW2 | Alexandria via LeMat-Bulk | PBE-GGA | optimized geometry" vol_a3_per_atom=18.6 formation_energy_kj_per_mol_atoms=42 energy_ev_per_atom=-8.25 m_tot_mub_per_cell=0.00 dos_ef_per_ev_cell=3.63 pbc="T T T"
Hg 1.4056 1.4056 7.1378
W 1.4056 1.4056 2.2814
Zr 0.0000 0.0000 4.6252
W 0.0000 0.0000 0.0674

=====

No. 3
4
Lattice="-2.0191 -2.4053 4.2752 1.2613 -5.0447 1.0485 3.1323 -1.1486 4.1241" Properties=species:S:1:pos:R:3 comment="CeDyScPb | Alexandria via LeMat-Bulk | PBE-GGA | optimized geometry" vol_a3_per_atom=26.4 formation_energy_kj_per_mol_atoms=-6 energy_ev_per_atom=-5.20 m_tot_mub_per_cell=1.81 dos_ef_per_ev_cell=8.56 pbc="T T T"
Dy 0.5936 -2.1497 2.3620
Pb 0.0000 0.0000 0.0000
Sc 1.7809 -6.4490 7.0859
Ce 1.1873 -4.2993 4.7239

=====

No. 4
4
Lattice="3.4453 0.0000 0.0000 1.7226 2.9837 0.0000 1.7226 0.9946 10.2020" Properties=species:S:1:pos:R:3 comment="LiNpBi2 | Alexandria via LeMat-Bulk | PBE-GGA | optimized geometry" vol_a3_per_atom=26.2 formation_energy_kj_per_mol_atoms=-4 energy_ev_per_atom=-5.70 m_tot_mub_per_cell=4.48 dos_ef_per_ev_cell=7.44 pbc="T T T"
Np 3.4453 1.9891 5.1010
Bi 1.7226 0.9946 2.3399
Bi 5.1679 2.9837 7.8621
Li 0.0000 0.0000 0.0000